No. 1
The following is a PBE-GGA calculation of BaAg2Pb after structural relaxation, from the Alexandria database.

Calculated values
Formation enthalpy at 0 K, eV per atom: -0.128

Lattice parameters (Å, degrees): 4.189 5.017 6.032 90.00 90.00 90.00
Space group Pmmm (No. 47)
Symmetry-distinct sites (fractional):
Ba 0.000 0.000 0.000 [1 per cell]
Ag 0.500 0.500 0.240 [2 per cell]
Pb 0.500 0.000 0.500 [1 per cell]

No. 2
The following is a PBE-GGA calculation of Ba2Ag15Pb2 after structural relaxation, from the Alexandria database.

Calculated values
Formation enthalpy at 0 K, eV per atom: -0.073

Lattice parameters (Å, degrees): 10.1177 10.1177 14.4366 90.00 90.00 120.00
Space group R-3m (No. 166, hexagonal axes)
Symmetry-distinct sites (fractional):
Ba 0.0000 0.0000 0.1531 [6 per cell]
Ag 0.0000 0.3088 0.5000 [18 per cell]
Ag 0.0000 0.5000 0.0000 [9 per cell]
Ag 0.0034 0.5017 0.6565 [18 per cell]
Pb 0.0000 0.0000 0.3978 [6 per cell]